Here is a geometry-optimized Li3Ho3TmTe8 structure from Alexandria via LeMat-Bulk. Energies are from PBE.

The total energy is -4.50 eV per atom. The value obtained for the total magnetic moment is 0.00 μB per cell. Its uncorrected formation energy is -18.41 eV per formula unit.

The space group is R-3m (No. 166, hexagonal axes) and the conventional cell measures 8.5857, 8.5857 and 21.2160 Å, with angles of 90.00, 90.00 and 120.00 degrees. The inequivalent atoms are Li at (0.0000, 0.5000, 0.0000), Ho at (0.0000, 0.5000, 0.5000), Tm at (0.0000, 0.0000, 0.5000), Te at (0.0000, 0.0000, 0.2522) and Te at (0.0005, 0.5002, 0.2512).